{
  "formula": "CeCoGe2Os",
  "functional": "PBE",
  "state": "optimized geometry",
  "cell": [[-1.254, -1.628, 3.592], [2.257, -3.388, -0.747], [3.488, 4.645, 0.939]],
  "species": ["Ge", "Ge", "Co", "Ce", "Os"],
  "fractional_positions": [[0.628, 0.628, 0.255], [0.372, 0.372, 0.745], [0.250, 0.750, 0.500], [0.000, 0.000, 0.000], [0.750, 0.250, 0.500]],
  "volume_a3_per_atom": 17.49,
  "final_energy_ev_per_cell": -35.92,
  "ef_ev_per_atom": -0.48,
  "dos_at_fermi_per_ev_fu": 4.6
}

---

{
  "formula": "La2Tb3SmY6",
  "functional": "PBE",
  "state": "optimized geometry",
  "cell": [[-2.803, 4.524, -3.278], [-2.770, -2.347, 5.088], [7.154, 7.350, 6.008]],
  "species": ["La", "La", "Tb", "Tb", "Tb", "Sm", "Y", "Y", "Y", "Y", "Y", "Y"],
  "fractional_positions": [[0.666, 0.334, 0.000], [0.334, 0.666, 0.000], [0.167, 0.833, 0.500], [0.833, 0.167, 0.500], [0.500, 0.500, 0.500], [0.000, 0.000, 0.000], [0.915, 0.582, 0.746], [0.247, 0.247, 0.746], [0.085, 0.418, 0.254], [0.418, 0.085, 0.254], [0.582, 0.915, 0.746], [0.753, 0.753, 0.254]],
  "volume_a3_per_atom": 33.01,
  "final_energy_ev_per_cell": -67.03,
  "ef_ev_per_atom": 0.02,
  "dos_at_fermi_per_ev_fu": 16.4
}

---

{
  "formula": "NaCaAgSe",
  "functional": "PBE",
  "state": "optimized geometry",
  "cell": [[5.145, 0.000, 0.000], [2.572, 4.456, 0.000], [2.572, 1.485, 4.201]],
  "species": ["Na", "Ca", "Se", "Ag"],
  "fractional_positions": [[0.000, 0.000, 0.000], [0.500, 0.500, 0.500], [0.750, 0.750, 0.750], [0.250, 0.250, 0.250]],
  "volume_a3_per_atom": 24.08,
  "final_energy_ev_per_cell": -12.58,
  "dos_at_fermi_per_ev_fu": 0.2,
  "formation_energy_uncorrected_ev_per_atom": -0.7300
}